This record from the Alexandria database describes a geometry-optimized Th2ZrAl structure. The functional is PBE-GGA.

Output
energy relative to the lowest polymorph listed for this composition: 0.000 kcal/mol of atoms
ΔH_f (0 K): -123 meV per atom
density of states at the Fermi level: 1.155 states/eV/atom
VASP energy: -6.905 eV per atom

a b c (Å): 4.728 4.702 4.702
angles (deg): 90.00 90.00 90.00
Fractional coordinates of all 4 atoms:
Zr: 0.500 0.000 0.000
Th: 0.000 0.000 0.500
Th: 0.000 0.500 0.000
Al: 0.500 0.500 0.500

This record from the Alexandria database describes a geometry-optimized ThZr2Al structure. The functional is PBE-GGA.

Output
energy relative to the lowest polymorph listed for this composition: 0.000 kcal/mol of atoms
ΔH_f (0 K): -176 meV per atom
density of states at the Fermi level: 1.194 states/eV/atom
VASP energy: -7.241 eV per atom

a b c (Å): 4.330 4.645 4.645
angles (deg): 90.00 90.00 90.00
Fractional coordinates of all 4 atoms:
Zr: 0.000 0.000 0.500
Zr: 0.000 0.500 0.000
Th: 0.500 0.500 0.500
Al: 0.500 0.000 0.000

This record from the Alexandria database describes a geometry-optimized Th3ZrAl8 structure. The functional is PBE-GGA.

Output
ΔH_f (0 K): -406 meV per atom
density of states at the Fermi level: 0.774 states/eV/atom
VASP energy: -5.468 eV per atom

a b c (Å): 5.614 5.614 9.739
angles (deg): 73.25 73.25 60.00
Fractional coordinates of all 12 atoms:
Th: 0.375 0.375 0.874
Th: 0.999 0.999 0.002
Th: 0.500 0.500 0.500
Zr: 0.876 0.876 0.373
Al: 0.934 0.436 0.193
Al: 0.441 0.939 0.681
Al: 0.436 0.436 0.193
Al: 0.939 0.939 0.681
Al: 0.188 0.188 0.436
Al: 0.687 0.687 0.940
Al: 0.436 0.934 0.193
Al: 0.939 0.441 0.681

This record from the Alexandria database describes a geometry-optimized ThZrAl structure. The functional is PBE-GGA.

Output
energy relative to the lowest polymorph listed for this composition: 5.838 kcal/mol of atoms
ΔH_f (0 K): 120 meV per atom
density of states at the Fermi level: 1.177 states/eV/atom
VASP energy: -6.450 eV per atom

a b c (Å): 3.172 5.083 5.083
angles (deg): 120.00 90.00 90.00
Fractional coordinates of all 3 atoms:
Zr: 0.168 0.333 0.667
Th: 0.166 0.000 0.000
Al: 0.666 0.667 0.333

This record from the Alexandria database describes a geometry-optimized ThZrAl structure. The functional is PBE-GGA.

Output
energy relative to the lowest polymorph listed for this composition: 0.000 kcal/mol of atoms
ΔH_f (0 K): -133 meV per atom
density of states at the Fermi level: 1.360 states/eV/atom
VASP energy: -6.703 eV per atom

a b c (Å): 3.279 3.279 7.127
angles (deg): 103.30 103.30 90.00
Fractional coordinates of all 3 atoms:
Zr: 0.315 0.315 0.630
Th: 0.008 0.008 0.015
Al: 0.677 0.677 0.354

This record from the Alexandria database describes a geometry-optimized ThZr3Al8 structure. The functional is PBE-GGA.

Output
ΔH_f (0 K): -463 meV per atom
density of states at the Fermi level: 0.589 states/eV/atom
VASP energy: -5.714 eV per atom

a b c (Å): 5.421 5.421 9.436
angles (deg): 73.31 73.31 60.00
Fractional coordinates of all 12 atoms:
Th: 0.874 0.874 0.377
Zr: 0.376 0.376 0.873
Zr: 0.001 0.001 0.996
Zr: 0.497 0.497 0.509
Al: 0.943 0.440 0.178
Al: 0.433 0.936 0.695
Al: 0.440 0.440 0.178
Al: 0.936 0.936 0.695
Al: 0.187 0.187 0.440
Al: 0.688 0.688 0.936
Al: 0.440 0.943 0.178
Al: 0.936 0.433 0.695

This record from the Alexandria database describes a geometry-optimized Th2ZrAl structure. The functional is PBE-GGA.

Output
energy relative to the lowest polymorph listed for this composition: 3.864 kcal/mol of atoms
ΔH_f (0 K): 45 meV per atom
density of states at the Fermi level: 1.731 states/eV/atom
VASP energy: -6.738 eV per atom

a b c (Å): 5.331 5.331 5.331
angles (deg): 60.00 60.00 60.00
Fractional coordinates of all 4 atoms:
Zr: 0.500 0.500 0.500
Th: 0.250 0.250 0.250
Th: 0.750 0.750 0.750
Al: 0.000 0.000 0.000

This record from the Alexandria database describes a geometry-optimized Th2ZrAl structure. The functional is PBE-GGA.

Output
energy relative to the lowest polymorph listed for this composition: 2.325 kcal/mol of atoms
ΔH_f (0 K): -22 meV per atom
density of states at the Fermi level: 1.729 states/eV/atom
VASP energy: -6.804 eV per atom

a b c (Å): 3.975 3.975 6.798
angles (deg): 90.00 90.00 90.00
Fractional coordinates of all 4 atoms:
Zr: 0.500 0.500 0.500
Th: 0.000 0.000 0.766
Th: 0.000 0.000 0.234
Al: 0.500 0.500 0.000

This record from the Alexandria database describes a geometry-optimized ThZrAl structure. The functional is PBE-GGA.

Output
energy relative to the lowest polymorph listed for this composition: 1.880 kcal/mol of atoms
ΔH_f (0 K): -52 meV per atom
density of states at the Fermi level: 1.022 states/eV/atom
VASP energy: -6.622 eV per atom

a b c (Å): 4.436 3.258 10.208
angles (deg): 80.82 90.00 90.00
Fractional coordinates of all 6 atoms:
Al: 0.250 0.100 0.800
Al: 0.750 0.900 0.200
Zr: 0.250 0.453 0.093
Zr: 0.750 0.547 0.907
Th: 0.750 0.696 0.608
Th: 0.250 0.304 0.392

This record from the Alexandria database describes a geometry-optimized ThZr2Al structure. The functional is PBE-GGA.

Output
energy relative to the lowest polymorph listed for this composition: 0.989 kcal/mol of atoms
ΔH_f (0 K): -133 meV per atom
density of states at the Fermi level: 1.159 states/eV/atom
VASP energy: -7.198 eV per atom

a b c (Å): 3.623 3.623 7.123
angles (deg): 90.00 90.00 90.00
Fractional coordinates of all 4 atoms:
Zr: 0.000 0.000 0.784
Zr: 0.000 0.000 0.216
Th: 0.500 0.500 0.500
Al: 0.500 0.500 0.000

This record from the Alexandria database describes a geometry-optimized ThZr2Al structure. The functional is PBE-GGA.

Output
energy relative to the lowest polymorph listed for this composition: 3.536 kcal/mol of atoms
ΔH_f (0 K): -23 meV per atom
density of states at the Fermi level: 1.676 states/eV/atom
VASP energy: -7.087 eV per atom

a b c (Å): 5.122 5.122 5.120
angles (deg): 59.98 59.98 60.00
Fractional coordinates of all 4 atoms:
Th: 0.500 0.500 0.501
Zr: 0.000 0.000 0.000
Zr: 0.250 0.250 0.249
Al: 0.750 0.750 0.751

This record from the Alexandria database describes a geometry-optimized Ti3Al5 structure. The functional is PBE-GGA.

Output
ΔH_f (0 K): -392 meV per atom
density of states at the Fermi level: 0.752 states/eV/atom
VASP energy: -5.692 eV per atom

a b c (Å): 3.911 5.728 5.728
angles (deg): 88.17 90.00 90.00
Fractional coordinates of all 8 atoms:
Ti: 0.000 0.500 0.500
Ti: 0.500 0.757 0.243
Ti: 0.500 0.243 0.757
Al: 0.000 0.000 0.000
Al: 0.000 0.000 0.500
Al: 0.000 0.500 0.000
Al: 0.500 0.258 0.258
Al: 0.500 0.742 0.742